Entry 1:
Entry from Alexandria via LeMat-Bulk: crystalline Hf2VPbO8 at its relaxed geometry (PBE+U).

abc: 4.825 4.825 6.475
angles: 90.00 90.00 90.23
Fractional coordinates of all 12 atoms:
O 0.317 0.317 0.500
O 0.706 0.706 0.000
O 0.294 0.294 0.000
O 0.806 0.194 0.774
O 0.194 0.806 0.774
O 0.683 0.683 0.500
O 0.806 0.194 0.226
O 0.194 0.806 0.226
V 0.000 0.000 0.000
Pb 0.000 0.000 0.500
Hf 0.500 0.500 0.757
Hf 0.500 0.500 0.243

Computed properties:
- SG = No. 65



Entry 2:
Entry from Alexandria via LeMat-Bulk: crystalline HfPbWO6 at its relaxed geometry (PBE+U).

abc: 7.430 7.446 7.544
angles: 119.57 119.50 90.00
Fractional coordinates of all 18 atoms:
W 0.500 0.000 0.000
W 0.500 0.500 0.000
Hf 0.000 0.000 0.500
Hf 0.500 0.000 0.500
Pb 0.033 0.283 0.065
Pb 0.967 0.717 0.935
O 0.571 0.941 0.765
O 0.555 0.305 0.111
O 0.832 0.082 0.663
O 0.429 0.059 0.235
O 0.445 0.695 0.889
O 0.806 0.675 0.235
O 0.806 0.059 0.235
O 0.194 0.941 0.765
O 0.168 0.918 0.337
O 0.429 0.675 0.235
O 0.194 0.325 0.765
O 0.571 0.325 0.765

Computed properties:
- SG = No. 74



Number 1: energy -100.05 eV per formula unit. Number 2: energy -70.66 eV per formula unit.